1.
Compound: AlTcAs2Se
Source: Alexandria
Functional: GGA-PBE
Structure: relaxed

Results
M_tot (μB per formula unit): 2.89
Energy above the lowest structure with this stoichiometry (eV per atom): 0.478
Uncorrected formation energy (eV per atom): 0.94
Density of states at the Fermi level (states/eV/cell): 3.816

Unit cell a=4.7883 b=4.7883 c=4.8552 alpha=90.00 beta=90.00 gamma=90.00
Positions (direct):
As 0.0000 0.5000 0.0000
As 0.5000 0.0000 0.0000
Tc 0.5000 0.5000 0.5000
Se 0.0000 0.0000 0.5000
Al 0.0000 0.0000 0.0000

---

2.
Compound: AlTcAsSe2
Source: Alexandria
Functional: GGA-PBE
Structure: relaxed

Results
M_tot (μB per formula unit): 0.00
Energy above the lowest structure with this stoichiometry (eV per atom): 0.000
Uncorrected formation energy (eV per atom): 0.43
Density of states at the Fermi level (states/eV/cell): 5.437

Unit cell a=4.9902 b=4.9902 c=4.7349 alpha=90.00 beta=90.00 gamma=90.00
Positions (direct):
As 0.0000 0.0000 0.5000
Tc 0.0000 0.0000 0.0000
Se 0.0000 0.5000 0.0000
Se 0.5000 0.0000 0.0000
Al 0.5000 0.5000 0.5000

---

3.
Compound: Th6AlAs2Se3
Source: Alexandria
Functional: GGA-PBE
Structure: relaxed

Results
M_tot (μB per formula unit): 0.00
Uncorrected formation energy (eV per atom): -1.25
Density of states at the Fermi level (states/eV/cell): 8.478

Unit cell a=4.2960 b=8.4414 c=9.4955 alpha=102.05 beta=103.07 gamma=90.00
Positions (direct):
Th 0.3339 0.9136 0.6677
Th 0.6672 0.5791 0.3344
Th 0.6661 0.0864 0.3323
Th 0.0025 0.2497 0.0050
Th 0.9975 0.7503 0.9950
Th 0.3328 0.4209 0.6656
Al 0.5000 0.0000 0.0000
As 0.8316 0.6655 0.6633
As 0.1684 0.3345 0.3367
Se 0.5000 0.5000 0.0000
Se 0.8343 0.1685 0.6686
Se 0.1657 0.8315 0.3314

---

4.
Compound: TiAlAs2Se
Source: Alexandria
Functional: GGA-PBE
Structure: relaxed

Results
M_tot (μB per formula unit): 0.00
Energy above the lowest structure with this stoichiometry (eV per atom): 0.393
Uncorrected formation energy (eV per atom): 0.46
Density of states at the Fermi level (states/eV/cell): 7.413

Unit cell a=4.7617 b=4.7617 c=4.8848 alpha=90.00 beta=90.00 gamma=90.00
Positions (direct):
As 0.0000 0.5000 0.0000
As 0.5000 0.0000 0.0000
Al 0.0000 0.0000 0.0000
Se 0.0000 0.0000 0.5000
Ti 0.5000 0.5000 0.5000

---

5.
Compound: TiAlAs2Se
Source: Alexandria
Functional: GGA-PBE
Structure: relaxed

Results
M_tot (μB per formula unit): 0.00
Energy above the lowest structure with this stoichiometry (eV per atom): 0.000
Uncorrected formation energy (eV per atom): 0.07
Density of states at the Fermi level (states/eV/cell): 3.695

Unit cell a=4.9315 b=4.9315 c=4.9099 alpha=90.00 beta=90.00 gamma=90.00
Positions (direct):
As 0.0000 0.5000 0.0000
As 0.5000 0.0000 0.0000
Al 0.5000 0.5000 0.5000
Se 0.0000 0.0000 0.5000
Ti 0.0000 0.0000 0.0000

---

6.
Compound: TiAlAsSe2
Source: Alexandria
Functional: GGA-PBE
Structure: relaxed

Results
M_tot (μB per formula unit): 0.01
Energy above the lowest structure with this stoichiometry (eV per atom): 0.384
Uncorrected formation energy (eV per atom): 0.27
Density of states at the Fermi level (states/eV/cell): 6.030

Unit cell a=4.8350 b=4.8350 c=4.7744 alpha=90.00 beta=90.00 gamma=90.00
Positions (direct):
As 0.0000 0.0000 0.5000
Al 0.0000 0.0000 0.0000
Se 0.0000 0.5000 0.0000
Se 0.5000 0.0000 0.0000
Ti 0.5000 0.5000 0.5000

---

7.
Compound: TiAlAsSe2
Source: Alexandria
Functional: GGA-PBE
Structure: relaxed

Results
M_tot (μB per formula unit): 0.00
Energy above the lowest structure with this stoichiometry (eV per atom): 0.000
Uncorrected formation energy (eV per atom): -0.11
Density of states at the Fermi level (states/eV/cell): 3.202

Unit cell a=4.9297 b=4.9297 c=4.9991 alpha=90.00 beta=90.00 gamma=90.00
Positions (direct):
As 0.0000 0.0000 0.5000
Al 0.5000 0.5000 0.5000
Se 0.0000 0.5000 0.0000
Se 0.5000 0.0000 0.0000
Ti 0.0000 0.0000 0.0000

---

8.
Compound: AlTlAsSe2
Source: Alexandria
Functional: GGA-PBE
Structure: relaxed

Results
M_tot (μB per formula unit): 0.35
Energy above the lowest structure with this stoichiometry (eV per atom): 0.000
Uncorrected formation energy (eV per atom): -0.01
Density of states at the Fermi level (states/eV/cell): 3.544

Unit cell a=5.0752 b=5.0752 c=4.9231 alpha=90.00 beta=90.00 gamma=90.00
Positions (direct):
Tl 0.5000 0.5000 0.5000
As 0.0000 0.0000 0.5000
Se 0.0000 0.5000 0.0000
Se 0.5000 0.0000 0.0000
Al 0.0000 0.0000 0.0000

---

9.
Compound: AlTlAs2Se
Source: Alexandria
Functional: GGA-PBE
Structure: relaxed

Results
M_tot (μB per formula unit): 1.28
Energy above the lowest structure with this stoichiometry (eV per atom): 0.802
Uncorrected formation energy (eV per atom): 1.00
Density of states at the Fermi level (states/eV/cell): 4.188

Unit cell a=5.3540 b=5.3540 c=5.4964 alpha=90.00 beta=90.00 gamma=90.00
Positions (direct):
Tl 0.0000 0.0000 0.0000
As 0.0000 0.5000 0.0000
As 0.5000 0.0000 0.0000
Se 0.0000 0.0000 0.5000
Al 0.5000 0.5000 0.5000

---

10.
Compound: AlTlAs2Se
Source: Alexandria
Functional: GGA-PBE
Structure: relaxed

Results
M_tot (μB per formula unit): 0.00
Energy above the lowest structure with this stoichiometry (eV per atom): 0.000
Uncorrected formation energy (eV per atom): 0.20
Density of states at the Fermi level (states/eV/cell): 4.345

Unit cell a=4.9460 b=4.9460 c=5.1390 alpha=90.00 beta=90.00 gamma=90.00
Positions (direct):
Tl 0.5000 0.5000 0.5000
As 0.0000 0.5000 0.0000
As 0.5000 0.0000 0.0000
Se 0.0000 0.0000 0.5000
Al 0.0000 0.0000 0.0000

---

11.
Compound: AlTlAsSe2
Source: Alexandria
Functional: GGA-PBE
Structure: relaxed

Results
M_tot (μB per formula unit): 1.40
Energy above the lowest structure with this stoichiometry (eV per atom): 0.804
Uncorrected formation energy (eV per atom): 0.80
Density of states at the Fermi level (states/eV/cell): 3.310

Unit cell a=5.4653 b=5.4653 c=5.3452 alpha=90.00 beta=90.00 gamma=90.00
Positions (direct):
Tl 0.0000 0.0000 0.0000
As 0.0000 0.0000 0.5000
Se 0.0000 0.5000 0.0000
Se 0.5000 0.0000 0.0000
Al 0.5000 0.5000 0.5000

---

12.
Compound: Al2VAsSe
Source: Alexandria
Functional: GGA-PBE
Structure: relaxed

Results
M_tot (μB per formula unit): 3.03
Uncorrected formation energy (eV per atom): 0.52
Density of states at the Fermi level (states/eV/cell): 4.344

Unit cell a=4.9094 b=4.8336 c=4.9094 alpha=90.00 beta=90.00 gamma=90.00
Positions (direct):
As 0.0000 0.0000 0.0000
Al 0.0000 0.0000 0.5000
Al 0.5000 0.0000 0.0000
Se 0.5000 0.5000 0.5000
V 0.0000 0.5000 0.0000

---

13.
Compound: AlAsWSe2
Source: Alexandria
Functional: GGA-PBE
Structure: relaxed

Results
M_tot (μB per formula unit): 2.67
Energy above the lowest structure with this stoichiometry (eV per atom): 0.612
Uncorrected formation energy (eV per atom): 1.02
Density of states at the Fermi level (states/eV/cell): 2.396

Unit cell a=4.7949 b=4.7949 c=4.7281 alpha=90.00 beta=90.00 gamma=90.00
Positions (direct):
As 0.0000 0.0000 0.5000
Se 0.0000 0.5000 0.0000
Se 0.5000 0.0000 0.0000
W 0.5000 0.5000 0.5000
Al 0.0000 0.0000 0.0000

---

14.
Compound: AlAsWSe2
Source: Alexandria
Functional: GGA-PBE
Structure: relaxed

Results
M_tot (μB per formula unit): 0.00
Energy above the lowest structure with this stoichiometry (eV per atom): 0.000
Uncorrected formation energy (eV per atom): 0.41
Density of states at the Fermi level (states/eV/cell): 3.816

Unit cell a=4.9857 b=4.9857 c=4.9210 alpha=90.00 beta=90.00 gamma=90.00
Positions (direct):
As 0.0000 0.0000 0.5000
Se 0.0000 0.5000 0.0000
Se 0.5000 0.0000 0.0000
W 0.0000 0.0000 0.0000
Al 0.5000 0.5000 0.5000

---

15.
Compound: YAlAsSe2
Source: Alexandria
Functional: GGA-PBE
Structure: relaxed

Results
M_tot (μB per formula unit): 1.12
Energy above the lowest structure with this stoichiometry (eV per atom): 0.485
Uncorrected formation energy (eV per atom): -0.04
Density of states at the Fermi level (states/eV/cell): 4.378

Unit cell a=5.4680 b=5.4680 c=5.5445 alpha=90.00 beta=90.00 gamma=90.00
Positions (direct):
Y 0.0000 0.0000 0.0000
As 0.0000 0.0000 0.5000
Al 0.5000 0.5000 0.5000
Se 0.0000 0.5000 0.0000
Se 0.5000 0.0000 0.0000

---

16.
Compound: YAlAsSe2
Source: Alexandria
Functional: GGA-PBE
Structure: relaxed

Results
M_tot (μB per formula unit): 0.00
Energy above the lowest structure with this stoichiometry (eV per atom): 0.000
Uncorrected formation energy (eV per atom): -0.52
Density of states at the Fermi level (states/eV/cell): 1.138

Unit cell a=4.9342 b=4.9342 c=4.8085 alpha=90.00 beta=90.00 gamma=90.00
Positions (direct):
Y 0.5000 0.5000 0.5000
As 0.0000 0.0000 0.5000
Al 0.0000 0.0000 0.0000
Se 0.0000 0.5000 0.0000
Se 0.5000 0.0000 0.0000

---

17.
Compound: AlZnAs2Se
Source: Alexandria
Functional: GGA-PBE
Structure: relaxed

Results
M_tot (μB per formula unit): 0.00
Energy above the lowest structure with this stoichiometry (eV per atom): 0.000
Uncorrected formation energy (eV per atom): 0.50
Density of states at the Fermi level (states/eV/cell): 5.113

Unit cell a=4.9014 b=4.9014 c=4.8662 alpha=90.00 beta=90.00 gamma=90.00
Positions (direct):
As 0.0000 0.5000 0.0000
As 0.5000 0.0000 0.0000
Zn 0.5000 0.5000 0.5000
Se 0.0000 0.0000 0.5000
Al 0.0000 0.0000 0.0000

---

18.
Compound: Al2ZnAsSe2
Source: Alexandria
Functional: GGA-PBE
Structure: relaxed

Results
M_tot (μB per formula unit): 0.00
Uncorrected formation energy (eV per atom): -0.42
Density of states at the Fermi level (states/eV/cell): 5.965

Unit cell a=7.0467 b=6.9298 c=6.9435 alpha=119.93 beta=90.00 gamma=90.00
Positions (direct):
Al 0.8092 0.8301 0.3259
Al 0.8092 0.5042 0.6741
Al 0.3092 0.4958 0.3259
Al 0.3092 0.1699 0.6741
Zn 0.3295 0.8544 0.0000
Zn 0.8295 0.1456 0.0000
As 0.6756 0.8283 0.0000
As 0.1756 0.1717 0.0000
Se 0.1749 0.8367 0.3367
Se 0.1749 0.5001 0.6633
Se 0.6749 0.1633 0.6633
Se 0.6749 0.4999 0.3367

---

19.
Compound: ZrAlAs2Se
Source: Alexandria
Functional: GGA-PBE
Structure: relaxed

Results
M_tot (μB per formula unit): 0.00
Energy above the lowest structure with this stoichiometry (eV per atom): 0.000
Uncorrected formation energy (eV per atom): 0.12
Density of states at the Fermi level (states/eV/cell): 4.567

Unit cell a=5.2305 b=5.2305 c=5.1945 alpha=90.00 beta=90.00 gamma=90.00
Positions (direct):
As 0.0000 0.5000 0.0000
As 0.5000 0.0000 0.0000
Se 0.0000 0.0000 0.5000
Zr 0.0000 0.0000 0.0000
Al 0.5000 0.5000 0.5000

---

20.
Compound: ZrAlAs2Se
Source: Alexandria
Functional: GGA-PBE
Structure: relaxed

Results
M_tot (μB per formula unit): 0.00
Energy above the lowest structure with this stoichiometry (eV per atom): 0.093
Uncorrected formation energy (eV per atom): 0.21
Density of states at the Fermi level (states/eV/cell): 5.401

Unit cell a=4.7559 b=4.7559 c=4.9102 alpha=90.00 beta=90.00 gamma=90.00
Positions (direct):
As 0.0000 0.5000 0.0000
As 0.5000 0.0000 0.0000
Se 0.0000 0.0000 0.5000
Zr 0.5000 0.5000 0.5000
Al 0.0000 0.0000 0.0000